{"formula": "KRh4", "functional": "PBE", "state": "optimized geometry", "e_tot_ev_per_cell": -18.33, "magnetic_moment_mub_per_fu": 4.34, "formation_energy_ev_per_atom": 2.435, "cell": [[4.630, 0.000, 0.000], [0.000, 4.630, 0.000], [0.000, 0.000, 4.630]], "species": ["K", "Rh", "Rh", "Rh", "Rh"], "fractional_positions": [[0.500, 0.500, 0.500], [0.000, 0.500, 0.500], [0.000, 0.000, 0.000], [0.500, 0.000, 0.500], [0.500, 0.500, 0.000]]}

{"formula": "KRh3", "functional": "PBE", "state": "optimized geometry", "e_tot_ev_per_cell": -20.18, "magnetic_moment_mub_per_fu": 0.00, "formation_energy_ev_per_atom": 0.743, "cell": [[-4.460, -2.451, 0.811], [3.780, -3.251, -1.305], [0.642, -0.303, 2.613]], "species": ["Rh", "Rh", "Rh", "K"], "fractional_positions": [[0.000, 0.500, 0.500], [0.500, 0.500, 0.000], [0.500, 0.000, 0.500], [0.000, 0.000, 0.000]]}

{"formula": "KRh2", "functional": "PBE", "state": "optimized geometry", "e_tot_ev_per_cell": -27.79, "magnetic_moment_mub_per_fu": 0.52, "formation_energy_ev_per_atom": 0.635, "cell": [[2.695, -7.807, 0.000], [2.695, 7.807, 0.000], [0.000, 0.000, 2.737]], "species": ["Rh", "Rh", "Rh", "Rh", "K", "K"], "fractional_positions": [[0.428, 0.572, 0.750], [0.572, 0.428, 0.250], [0.719, 0.281, 0.750], [0.281, 0.719, 0.250], [0.900, 0.100, 0.250], [0.100, 0.900, 0.750]]}

{"formula": "KRh3", "functional": "PBE", "state": "optimized geometry", "e_tot_ev_per_cell": -19.50, "magnetic_moment_mub_per_fu": 0.00, "formation_energy_ev_per_atom": 0.913, "cell": [[-0.705, 4.444, 1.984], [-4.301, 1.659, -1.712], [1.122, -4.285, 2.136]], "species": ["Rh", "Rh", "Rh", "K"], "fractional_positions": [[0.500, 0.500, 0.000], [0.750, 0.250, 0.500], [0.250, 0.750, 0.500], [0.000, 0.000, 0.000]]}

{"formula": "KRh3", "functional": "PBE", "state": "optimized geometry", "e_tot_ev_per_cell": -21.40, "magnetic_moment_mub_per_fu": 0.00, "formation_energy_ev_per_atom": 0.438, "cell": [[-0.541, -2.602, -0.925], [2.694, -0.704, 0.404], [-1.932, -2.577, 8.383]], "species": ["Rh", "Rh", "Rh", "K"], "fractional_positions": [[0.500, 0.500, 0.698], [0.000, 0.000, 0.500], [0.500, 0.500, 0.302], [0.000, 0.000, 0.000]]}

{"formula": "KRh3", "functional": "PBE", "state": "optimized geometry", "e_tot_ev_per_cell": -40.88, "magnetic_moment_mub_per_fu": 1.01, "formation_energy_ev_per_atom": 0.678, "cell": [[3.624, -4.310, 0.000], [3.624, 4.310, 0.000], [0.000, 0.000, 4.620]], "species": ["Rh", "Rh", "Rh", "Rh", "Rh", "Rh", "K", "K"], "fractional_positions": [[0.041, 0.615, 0.750], [0.079, 0.921, 0.250], [0.959, 0.385, 0.250], [0.385, 0.959, 0.750], [0.615, 0.041, 0.250], [0.921, 0.079, 0.750], [0.441, 0.559, 0.250], [0.559, 0.441, 0.750]]}

{"formula": "KRh2", "functional": "PBE", "state": "optimized geometry", "e_tot_ev_per_cell": -26.12, "magnetic_moment_mub_per_fu": 1.64, "formation_energy_ev_per_atom": 0.914, "cell": [[-0.670, -0.099, -2.646], [0.397, -5.463, 0.104], [-7.885, -0.535, 2.016]], "species": ["Rh", "Rh", "Rh", "Rh", "K", "K"], "fractional_positions": [[0.259, 0.500, 0.136], [0.741, 0.500, 0.864], [0.241, 0.000, 0.636], [0.759, 0.000, 0.364], [0.500, 0.500, 0.500], [0.000, 0.000, 0.000]]}

{"formula": "KRh3", "functional": "PBE", "state": "optimized geometry", "e_tot_ev_per_cell": -19.41, "magnetic_moment_mub_per_fu": 3.35, "formation_energy_ev_per_atom": 0.935, "cell": [[4.618, 0.000, 0.000], [2.309, 3.999, 0.000], [2.309, 1.333, 3.771]], "species": ["Rh", "Rh", "Rh", "K"], "fractional_positions": [[0.500, 0.500, 0.500], [0.250, 0.250, 0.250], [0.750, 0.750, 0.750], [0.000, 0.000, 0.000]]}

Q: Number 2 is which compound?
A: KRh3